Entry from Alexandria via LeMat-Bulk: NdThSbTe after structural relaxation (GGA-PBE).

extended XYZ file:
```
4
Lattice="4.504 0.000 0.000 0.000 4.504 0.000 0.000 0.000 6.347" Properties=species:S:1:pos:R:3 pbc="T T T"
Nd 0.000 0.000 0.000
Th 2.252 2.252 3.174
Sb 0.000 0.000 3.174
Te 2.252 2.252 0.000
```

Formation energy (no corrections) = -1160 meV per atom
SG = P4/mmm
Calculated volume = 32.185 A^3/atom
Offset from the most stable computed form = 0.000 eV/atom

=====

Entry from Alexandria via LeMat-Bulk: Cs6Br2Cl after structural relaxation (GGA-PBE).

extended XYZ file:
```
9
Lattice="9.416 -2.722 0.000 9.416 2.722 0.000 -3.698 0.000 13.297" Properties=species:S:1:pos:R:3 pbc="T T T"
Cs 1.599 0.000 1.694
Cs 0.748 0.000 6.784
Cs 6.638 0.000 2.444
Cs 8.495 0.000 10.854
Cs 14.385 0.000 6.514
Cs 13.534 0.000 11.603
Br 3.644 0.000 4.588
Br 11.489 0.000 8.709
Cl 9.416 0.000 0.000
```

Formation energy (no corrections) = -1156 meV per atom
SG = C2/m
Calculated volume = 75.725 A^3/atom

=====

Entry from Alexandria via LeMat-Bulk: Y3Ta5 after structural relaxation (GGA-PBE).

extended XYZ file:
```
8
Lattice="4.966 -5.082 0.000 4.966 5.082 0.000 0.000 0.000 3.445" Properties=species:S:1:pos:R:3 pbc="T T T"
Y 0.000 0.000 0.000
Y 2.579 0.000 1.723
Y 7.353 0.000 1.723
Ta 2.483 2.541 0.000
Ta 4.966 2.290 1.723
Ta 2.483 -2.541 0.000
Ta 4.966 0.000 0.000
Ta 4.966 -2.290 1.723
```

SG = Cmmm
Calculated volume = 21.740 A^3/atom
ΔE_f = 0.469 eV/atom
Offset from the most stable computed form = 0.000 eV/atom